DFT (PBE) results for a relaxed YZrCr crystal.

Calculated values
As for the raw total energy: -7.932 eV/atom. As for the volume: 22.2 Å³ per atom. The polymorph energy (0 for the lowest one) is 0.0 meV/atom. Its energy of formation is 0.280 eV/atom.

The structure in CIF format:
```
data_YZrCr
_symmetry_space_group_name_H-M 'I 4 m m'
_symmetry_Int_Tables_number 107
_symmetry_space_group_name_Hall 'I 4 -2'
_cell_length_a 3.463
_cell_length_b 3.463
_cell_length_c 11.092
_cell_angle_alpha 90.00
_cell_angle_beta 90.00
_cell_angle_gamma 90.00
loop_
_atom_site_label
_atom_site_fract_x
_atom_site_fract_y
_atom_site_fract_z
Y1 0.000 0.000 0.000
Zr1 0.000 0.000 0.284
Cr1 0.000 0.000 0.676
```